First-principles (PBE-GGA) data for a relaxed Tm5Zr2Sb4 crystal, as listed in Alexandria.

a = 11.918 Å, b = 11.918 Å, c = 7.818 Å
α = 92.49°, β = 92.49°, γ = 15.96°
Fractional positions:
Tm  0.000  0.000  0.000
Tm  0.321  0.321  0.494
Tm  0.354  0.354  0.041
Tm  0.646  0.646  0.959
Tm  0.679  0.679  0.506
Zr  0.449  0.449  0.349
Zr  0.551  0.551  0.651
Sb  0.230  0.230  0.210
Sb  0.431  0.431  0.721
Sb  0.569  0.569  0.279
Sb  0.770  0.770  0.790

Space group ... No. 12
Formation energy (no corrections) ... -324.8 meV/atom
DFT total energy ... -59.52 eV/cell